Record 1
Below is a geometry-optimized InAgIr structure, with properties calculated at the GGA-PBE level.

Unit cell a=4.456 b=4.456 c=4.456 alpha=60.00 beta=60.00 gamma=60.00
Element x y z (fractional)
In: 0.000 0.000 0.000
Ag: 0.500 0.500 0.500
Ir: 0.750 0.750 0.750

For the total energy, the calculation gives -0.1673 Ha/atom.

***

Record 2
Below is a geometry-optimized La2NdIn3AgIr2 structure, with properties calculated at the GGA-PBE level.

Unit cell a=4.164 b=7.754 c=7.754 alpha=120.71 beta=90.00 gamma=90.00
Element x y z (fractional)
La: 0.000 0.210 0.790
La: 0.000 0.790 0.210
Nd: 0.000 0.373 0.373
In: 0.500 0.054 0.054
In: 0.500 0.532 0.781
In: 0.500 0.781 0.532
Ag: 0.000 0.794 0.794
Ir: 0.500 0.113 0.458
Ir: 0.500 0.458 0.113

For the total energy, the calculation gives -0.1991 Ha/atom.

***

Record 3
Below is a geometry-optimized LaNd2In3AgIr2 structure, with properties calculated at the GGA-PBE level.

Unit cell a=4.136 b=7.695 c=7.695 alpha=119.48 beta=90.00 gamma=90.00
Element x y z (fractional)
La: 0.000 0.000 0.000
Nd: 0.000 0.162 0.578
Nd: 0.000 0.578 0.162
In: 0.500 0.327 0.327
In: 0.500 0.571 0.838
In: 0.500 0.838 0.571
Ag: 0.000 0.582 0.582
Ir: 0.500 0.237 0.913
Ir: 0.500 0.913 0.237

For the total energy, the calculation gives -0.1980 Ha/atom.

***

Record 4
Below is a geometry-optimized La2PrIn3AgIr2 structure, with properties calculated at the GGA-PBE level.

Unit cell a=4.176 b=7.760 c=7.760 alpha=120.73 beta=90.00 gamma=90.00
Element x y z (fractional)
La: 0.000 0.210 0.790
La: 0.000 0.790 0.210
Pr: 0.000 0.628 0.628
In: 0.500 0.218 0.468
In: 0.500 0.468 0.218
In: 0.500 0.947 0.947
Ag: 0.000 0.206 0.206
Ir: 0.500 0.542 0.888
Ir: 0.500 0.888 0.542

For the total energy, the calculation gives -0.1991 Ha/atom.

***

Record 5
Below is a geometry-optimized Li2Sc2In2AgIr structure, with properties calculated at the GGA-PBE level.

Unit cell a=4.633 b=4.633 c=6.716 alpha=90.00 beta=90.00 gamma=90.00
Element x y z (fractional)
Li: 0.000 0.000 0.000
Li: 0.500 0.500 0.500
Sc: 0.000 0.500 0.728
Sc: 0.500 0.000 0.272
In: 0.000 0.500 0.255
In: 0.500 0.000 0.745
Ag: 0.500 0.500 0.000
Ir: 0.000 0.000 0.500

For the total energy, the calculation gives -0.1719 Ha/atom.

***

Record 6
Below is a geometry-optimized Pr3Mg3InAgIr structure, with properties calculated at the GGA-PBE level.

Unit cell a=8.021 b=8.021 c=4.082 alpha=90.00 beta=90.00 gamma=120.00
Element x y z (fractional)
Pr: 0.033 0.601 0.000
Pr: 0.399 0.432 0.000
Pr: 0.568 0.967 0.000
Mg: 0.000 0.247 0.500
Mg: 0.247 0.000 0.500
Mg: 0.753 0.753 0.500
In: 0.667 0.333 0.500
Ag: 0.000 0.000 0.000
Ir: 0.333 0.667 0.500

For the total energy, the calculation gives -0.1521 Ha/atom.

***

Record 7
Below is a geometry-optimized PrNd2In3AgIr2 structure, with properties calculated at the GGA-PBE level.

Unit cell a=4.112 b=7.736 c=7.736 alpha=120.10 beta=90.00 gamma=90.00
Element x y z (fractional)
Pr: 0.000 0.000 0.000
Nd: 0.000 0.415 0.831
Nd: 0.000 0.831 0.415
In: 0.500 0.153 0.416
In: 0.500 0.416 0.153
In: 0.500 0.677 0.677
Ag: 0.000 0.416 0.416
Ir: 0.500 0.082 0.748
Ir: 0.500 0.748 0.082

For the total energy, the calculation gives -0.1966 Ha/atom.

***

Record 8
Below is a geometry-optimized InAgIrO3 structure, with properties calculated at the GGA-PBE level.

Unit cell a=9.649 b=3.233 c=10.162 alpha=90.00 beta=90.00 gamma=90.00
Element x y z (fractional)
In: 0.219 0.250 0.130
In: 0.281 0.750 0.630
In: 0.719 0.250 0.370
In: 0.781 0.750 0.870
Ag: 0.093 0.750 0.928
Ag: 0.407 0.250 0.428
Ag: 0.593 0.750 0.572
Ag: 0.907 0.250 0.072
Ir: 0.039 0.750 0.380
Ir: 0.461 0.250 0.880
Ir: 0.539 0.750 0.120
Ir: 0.961 0.250 0.620
O: 0.053 0.750 0.704
O: 0.121 0.250 0.485
O: 0.208 0.750 0.269
O: 0.292 0.250 0.769
O: 0.379 0.750 0.985
O: 0.447 0.250 0.204
O: 0.553 0.750 0.796
O: 0.621 0.250 0.015
O: 0.708 0.750 0.231
O: 0.792 0.250 0.731
O: 0.879 0.750 0.515
O: 0.947 0.250 0.296

For the total energy, the calculation gives -0.2026 Ha/atom.